DFT (PBE with a Hubbard U) results for crystalline RbMgCr2O8 at its relaxed geometry.

Cell: 5.5993 5.5993 7.8303 Å, 90.00 90.00 120.00°
Closest atoms and distances in Å follow each position.
Fractional positions:
Rb (0.0000, 0.0000, 0.0000)  12 O 3.14-3.27
Mg (0.0000, 0.0000, 0.5000)  6 O 2.07
Cr (0.3333, 0.6667, 0.7273)  4 O 1.64-1.67
Cr (0.6667, 0.3333, 0.2727)  4 O 1.64-1.67
O (0.1687, 0.3408, 0.6583)  1 Cr 1.67
O (0.1722, 0.8313, 0.6583)  1 Cr 1.67
O (0.3333, 0.6667, 0.9365)  1 Cr 1.64
O (0.3408, 0.1722, 0.3417)  1 Cr 1.67
O (0.6592, 0.8278, 0.6583)  1 Cr 1.67
O (0.6667, 0.3333, 0.0635)  1 Cr 1.64
O (0.8278, 0.1687, 0.3417)  1 Cr 1.67
O (0.8313, 0.6592, 0.3417)  1 Cr 1.67

Output
* electronic total energy: -75.2 eV/f.u.
* V: 213 Å³/f.u.
* total magnetization: 1.08 μB/f.u.